Entry 1:
Tl2VIn | GGA-PBE | relaxed

For the formation energy, the calculation gives 2.28 eV per formula unit.

It has space group I-42d (No. 122), with a = 8.401 Å, b = 8.401 Å, c = 6.035 Å, α = 90.00°, β = 90.00° and γ = 90.00°. The distinct sites, in fractional coordinates, are Tl at (0.213, 0.250, 0.125), V at (0.000, 0.000, 0.000) and In at (0.000, 0.000, 0.500).

=====

Entry 2:
TlV3In | GGA-PBE | relaxed

For the formation energy, the calculation gives 7.85 eV per formula unit.

It has space group Pm-3m (No. 221), with a = 5.081 Å, b = 5.081 Å, c = 5.081 Å, α = 90.00°, β = 90.00° and γ = 90.00°. The distinct sites, in fractional coordinates, are Tl at (0.000, 0.000, 0.000), V at (0.000, 0.500, 0.500) and In at (0.500, 0.500, 0.500).

=====

Entry 3:
TlVIn2 | GGA-PBE | relaxed

For the formation energy, the calculation gives 2.38 eV per formula unit.

It has space group R-3m (No. 166, hexagonal axes), with a = 3.2347 Å, b = 3.2347 Å, c = 34.7220 Å, α = 90.00°, β = 90.00° and γ = 120.00°. The distinct sites, in fractional coordinates, are Tl at (0.0000, 0.0000, 0.0000), V at (0.0000, 0.0000, 0.5000) and In at (0.0000, 0.0000, 0.4184).

=====

Entry 4:
TlIn2W | GGA-PBE | relaxed

For the formation energy, the calculation gives 3.51 eV per formula unit.

It has space group P4/mmm (No. 123), with a = 4.416 Å, b = 4.416 Å, c = 4.476 Å, α = 90.00°, β = 90.00° and γ = 90.00°. The distinct sites, in fractional coordinates, are Tl at (0.000, 0.000, 0.000), In at (0.000, 0.500, 0.500) and W at (0.500, 0.500, 0.000).

=====

Entry 5:
TlIn3W | GGA-PBE | relaxed

For the formation energy, the calculation gives 8.37 eV per formula unit.

It has space group Pm-3m (No. 221), with a = 5.603 Å, b = 5.603 Å, c = 5.603 Å, α = 90.00°, β = 90.00° and γ = 90.00°. The distinct sites, in fractional coordinates, are Tl at (0.000, 0.000, 0.000), In at (0.000, 0.000, 0.500) and W at (0.500, 0.500, 0.500).

=====

Entry 6:
TlIn2W | GGA-PBE | relaxed

For the formation energy, the calculation gives 3.68 eV per formula unit.

It has space group I-42d (No. 122), with a = 8.486 Å, b = 8.486 Å, c = 5.748 Å, α = 90.00°, β = 90.00° and γ = 90.00°. The distinct sites, in fractional coordinates, are Tl at (0.000, 0.000, 0.000), In at (0.189, 0.250, 0.625) and W at (0.000, 0.000, 0.500).

=====

Entry 7:
TlIn2W | GGA-PBE | relaxed

For the formation energy, the calculation gives 2.96 eV per formula unit.

It has space group Immm (No. 71), with a = 3.930 Å, b = 4.614 Å, c = 9.384 Å, α = 90.00°, β = 90.00° and γ = 90.00°. The distinct sites, in fractional coordinates, are Tl at (0.000, 0.000, 0.000), In at (0.000, 0.500, 0.240) and W at (0.000, 0.000, 0.500).

=====

Entry 8:
TlIn2W | GGA-PBE | relaxed

For the formation energy, the calculation gives 2.28 eV per formula unit.

It has space group Immm (No. 71), with a = 2.916 Å, b = 4.971 Å, c = 13.619 Å, α = 90.00°, β = 90.00° and γ = 90.00°. The distinct sites, in fractional coordinates, are Tl at (0.000, 0.000, 0.000), In at (0.000, 0.500, 0.186) and W at (0.000, 0.000, 0.500).